(1)
DFT (PBE-GGA) results for crystalline SrY2TlH at its relaxed geometry.

Unit cell a=4.979 b=4.979 c=5.072 alpha=90.00 beta=90.00 gamma=90.00
Site moments in Bohr magnetons follow the coordinates.
Fractional coordinates of all 5 atoms:
Y1 0.000 0.500 0.000  0.32
Y2 0.500 0.000 0.000  0.32
Sr1 0.000 0.000 0.500  0.06
Tl1 0.500 0.500 0.500  -0.02
H1 0.000 0.000 0.000  -0.01

Calculated values
Symmetry: P4/mmm, No. 123
Energy above the most stable polymorph in this dataset (eV per atom): 0.0000

=====

(2)
DFT (PBE-GGA) results for crystalline Sr2YTlH at its relaxed geometry.

Unit cell a=5.128 b=5.128 c=5.246 alpha=90.00 beta=90.00 gamma=90.00
Site moments in Bohr magnetons follow the coordinates.
Fractional coordinates of all 5 atoms:
Y1 0.000 0.000 0.500  0.27
Sr1 0.000 0.500 0.000  0.04
Sr2 0.500 0.000 0.000  0.04
Tl1 0.500 0.500 0.500  -0.02
H1 0.000 0.000 0.000  -0.01

Calculated values
Total DFT energy (no corrections) (eV/atom): -3.284
Symmetry: P4/mmm, No. 123

=====

| no. | theoretical density (Mg/m³) |
| --- | --- |
| 1 | 6.22 |
| 2 | 5.65 |